Entry 1:
A plane-wave DFT calculation with GGA-PBE was carried out for crystalline K3CeBr7 at its relaxed geometry.

Cell: 7.798 7.798 8.642 Å, 115.87 115.87 85.25°
Element x y z (fractional)
K 0.000 0.000 0.000
K 0.282 0.729 0.583
K 0.729 0.282 0.583
Ce 0.557 0.557 0.138
Br 0.190 0.533 0.830
Br 0.366 0.366 0.246
Br 0.373 0.877 0.306
Br 0.533 0.190 0.830
Br 0.698 0.698 0.956
Br 0.867 0.867 0.514
Br 0.877 0.373 0.306

Summary:
Uncorrected formation energy = -1.6555 eV/atom
Electronic total energy = -39.15 eV per formula unit
Space-group type = No. 8
Total magnetic moment = 0.01 μB/atom

=====

Entry 2:
A plane-wave DFT calculation with GGA-PBE was carried out for crystalline NaLa3Os at its relaxed geometry.

Cell: 8.076 8.076 6.341 Å, 90.00 90.00 128.61°
Element x y z (fractional)
Na 0.066 0.934 0.750
Na 0.934 0.066 0.250
La 0.067 0.456 0.750
La 0.456 0.067 0.250
La 0.500 0.500 0.000
La 0.500 0.500 0.500
La 0.544 0.933 0.750
La 0.933 0.544 0.250
Os 0.327 0.673 0.250
Os 0.673 0.327 0.750

Summary:
Electronic total energy = -26.51 eV per formula unit
Formation energy = 165 meV/atom
Space-group type = No. 63
Total magnetic moment = 0.00 μB/atom

=====

Entry 3:
A plane-wave DFT calculation with GGA-PBE was carried out for crystalline SiBAsBr2 at its relaxed geometry.

Cell: 4.585 4.585 4.684 Å, 90.00 90.00 90.00°
Element x y z (fractional)
Si 0.000 0.000 0.000
B 0.500 0.500 0.500
As 0.500 0.500 0.000
Br 0.000 0.500 0.500
Br 0.500 0.000 0.500

Summary:
Uncorrected formation energy = 0.9263 eV/atom
Electronic total energy = -15.46 eV per formula unit
Space-group type = No. 123
Total magnetic moment = 0.00 μB/atom

=====

Entry 4:
A plane-wave DFT calculation with GGA-PBE was carried out for crystalline NdSm3In at its relaxed geometry.

Cell: 6.902 6.902 6.902 Å, 87.60 87.60 87.60°
Element x y z (fractional)
Nd 0.000 0.000 0.000
Nd 0.500 0.500 0.500
Sm 0.083 0.750 0.417
Sm 0.250 0.583 0.917
Sm 0.417 0.083 0.750
Sm 0.583 0.917 0.250
Sm 0.750 0.417 0.083
Sm 0.917 0.250 0.583
In 0.250 0.250 0.250
In 0.750 0.750 0.750

Summary:
Electronic total energy = -21.80 eV per formula unit
Formation energy = -28 meV/atom
Space-group type = No. 167
Total magnetic moment = 0.00 μB/atom

=====

Entry 5:
A plane-wave DFT calculation with GGA-PBE was carried out for crystalline Ba8P3Se3O at its relaxed geometry.

Cell: 9.394 9.394 9.394 Å, 58.36 58.36 58.36°
Element x y z (fractional)
Ba 0.249 0.249 0.249
Ba 0.271 0.721 0.721
Ba 0.279 0.279 0.729
Ba 0.279 0.729 0.279
Ba 0.721 0.271 0.721
Ba 0.721 0.721 0.271
Ba 0.729 0.279 0.279
Ba 0.751 0.751 0.751
P 0.000 0.000 0.500
P 0.000 0.500 0.000
P 0.500 0.000 0.000
Se 0.000 0.500 0.500
Se 0.500 0.000 0.500
Se 0.500 0.500 0.000
O 0.500 0.500 0.500

Summary:
Uncorrected formation energy = -1.4946 eV/atom
Electronic total energy = -69.44 eV per formula unit
Space-group type = No. 166
Total magnetic moment = 0.07 μB/atom

=====

Entry 6:
A plane-wave DFT calculation with GGA-PBE was carried out for crystalline TaZnSb2Te at its relaxed geometry.

Cell: 5.407 5.407 5.368 Å, 90.00 90.00 90.00°
Element x y z (fractional)
Ta 0.000 0.000 0.000
Zn 0.500 0.500 0.500
Sb 0.000 0.500 0.000
Sb 0.500 0.000 0.000
Te 0.000 0.000 0.500

Summary:
Uncorrected formation energy = 0.4296 eV/atom
Electronic total energy = -22.37 eV per formula unit
Space-group type = No. 123
Total magnetic moment = 0.00 μB/atom